# 1
ZnTeMo2 after structural relaxation, computed with GGA-PBEsol.

Output
V: 66.73 Å³ per cell
E: -6.7397 eV/atom
DOS at the Fermi energy: 0.76 states/eV per atom

a b c (Å): 3.1898 4.6869 4.7476
angles (deg): 109.91 90.00 90.00
Last column: nearest neighbours and their distance in Å.
Sites, in units of the cell vectors:
Mo (0.0000, 0.0000, 0.0000)  2 Zn 2.71, 4 Mo 2.83, 4 Te 2.86
Mo (0.5000, 0.5000, 0.0000)  2 Te 2.71, 4 Mo 2.83, 4 Zn 2.86
Te (0.5000, 0.0000, 0.5000)  6 Mo 2.71-2.86, 4 Zn 2.83
Zn (0.0000, 0.5000, 0.5000)  6 Mo 2.71-2.86, 4 Te 2.83

# 2
TbF3 after structural relaxation, computed with GGA-PBEsol.

Output
V: 189.76 Å³ per cell
E: -6.9012 eV/atom
DOS at the Fermi energy: 0.00 states/eV per atom

a b c (Å): 4.3259 6.4071 6.8463
angles (deg): 90.00 90.00 90.00
Last column: nearest neighbours and their distance in Å.
Sites, in units of the cell vectors:
F (0.4177, 0.5203, 0.7500)  3 Tb 2.30-2.43, 2 F 2.56
F (0.9177, 0.9797, 0.2500)  3 Tb 2.30-2.43, 2 F 2.56
F (0.5823, 0.4797, 0.2500)  3 Tb 2.30-2.43, 2 F 2.56
F (0.0823, 0.0203, 0.7500)  3 Tb 2.30-2.43, 2 F 2.56
F (0.6158, 0.1651, 0.9367)  3 Tb 2.29-2.30, 3 F 2.50-2.56
F (0.1158, 0.3349, 0.0633)  3 Tb 2.29-2.30, 3 F 2.50-2.56
F (0.3842, 0.8349, 0.4367)  3 Tb 2.29-2.30, 3 F 2.50-2.56
F (0.8842, 0.6651, 0.5633)  3 Tb 2.29-2.30, 3 F 2.50-2.56
F (0.3842, 0.8349, 0.0633)  3 Tb 2.29-2.30, 3 F 2.50-2.56
F (0.8842, 0.6651, 0.9367)  3 Tb 2.29-2.30, 3 F 2.50-2.56
F (0.6158, 0.1651, 0.5633)  3 Tb 2.29-2.30, 3 F 2.50-2.56
F (0.1158, 0.3349, 0.4367)  3 Tb 2.29-2.30, 3 F 2.50-2.56
Tb (0.9342, 0.3693, 0.7500)  9 F 2.29-2.43
Tb (0.4342, 0.1307, 0.2500)  9 F 2.29-2.43
Tb (0.0658, 0.6307, 0.2500)  9 F 2.29-2.43
Tb (0.5658, 0.8693, 0.7500)  9 F 2.29-2.43

# 3
TlTcW2 after structural relaxation, computed with GGA-PBEsol.

Output
V: 65.31 Å³ per cell
E: -9.6709 eV/atom
DOS at the Fermi energy: 1.08 states/eV per atom
calculated formation energy: 0.707 eV/atom

a b c (Å): 3.8849 3.8849 5.1254
angles (deg): 112.27 112.27 90.00
Last column: nearest neighbours and their distance in Å.
Sites, in units of the cell vectors:
Tc (0.5000, 0.5000, 0.0000)  4 Tl 2.75, 8 W 2.91
Tl (0.0000, 0.0000, 0.0000)  4 Tc 2.75, 8 W 2.91
W (0.7500, 0.2500, 0.5000)  4 W 2.75, 4 Tl 2.91, 4 Tc 2.91
W (0.2500, 0.7500, 0.5000)  4 W 2.75, 4 Tl 2.91, 4 Tc 2.91

# 4
TaSi2PdCl after structural relaxation, computed with GGA-PBEsol.

Output
V: 97.20 Å³ per cell
E: -5.3707 eV/atom
DOS at the Fermi energy: 0.96 states/eV per atom

a b c (Å): 4.5798 4.5798 4.6339
angles (deg): 90.00 90.00 90.00
Last column: nearest neighbours and their distance in Å.
Sites, in units of the cell vectors:
Si (0.0000, 0.5000, 0.0000)  2 Pd 2.29
Si (0.5000, 0.0000, 0.0000)  2 Pd 2.29
Cl (0.0000, 0.0000, 0.5000)  2 Pd 2.32
Pd (0.0000, 0.0000, 0.0000)  4 Si 2.29, 2 Cl 2.32
Ta (0.5000, 0.5000, 0.5000)  4 Cl 3.24, 8 Si 3.26

# 5
AlTlTc2 after structural relaxation, computed with GGA-PBEsol.

Output
V: 68.00 Å³ per cell
E: -7.2051 eV/atom
DOS at the Fermi energy: 0.73 states/eV per atom
calculated formation energy: 0.109 eV/atom

a b c (Å): 2.9465 2.9465 7.8324
angles (deg): 90.00 90.00 90.00
Last column: nearest neighbours and their distance in Å.
Sites, in units of the cell vectors:
Tl (0.0000, 0.0000, 0.4803)  4 Tl 2.95, 4 Tc 3.02, 4 Al 3.29
Tc (0.0000, 0.0000, 0.0131)  4 Tc 2.55, 4 Al 2.64
Tc (0.5000, 0.5000, 0.2005)  4 Tc 2.55
Al (0.5000, 0.5000, 0.8062)  4 Tc 2.64, 4 Al 2.95

# 6
Li2CrSb after structural relaxation, computed with GGA-PBEsol.

Output
V: 69.29 Å³ per cell
E: -4.7100 eV/atom
DOS at the Fermi energy: 0.24 states/eV per atom

a b c (Å): 4.1544 4.1544 4.9749
angles (deg): 114.68 114.68 90.00
Last column: nearest neighbours and their distance in Å.
Sites, in units of the cell vectors:
Sb (0.5000, 0.5000, 0.0000)  8 Li 2.89, 4 Cr 2.94
Li (0.7500, 0.2500, 0.5000)  4 Cr 2.89, 4 Sb 2.89, 4 Li 2.94
Li (0.2500, 0.7500, 0.5000)  4 Cr 2.89, 4 Sb 2.89, 4 Li 2.94
Cr (0.0000, 0.0000, 0.0000)  8 Li 2.89, 4 Sb 2.94

# 7
ScSi2I after structural relaxation, computed with GGA-PBEsol.

Output
V: 83.27 Å³ per cell
E: -4.4599 eV/atom
DOS at the Fermi energy: 1.01 states/eV per atom

a b c (Å): 4.9015 4.9015 4.9015
angles (deg): 60.00 60.00 60.00
Last column: nearest neighbours and their distance in Å.
Sites, in units of the cell vectors:
I (0.5000, 0.5000, 0.5000)  8 Si 3.00
Sc (0.0000, 0.0000, 0.0000)  8 Si 3.00
Si (0.2500, 0.2500, 0.2500)  4 Sc 3.00, 4 I 3.00
Si (0.7500, 0.7500, 0.7500)  4 I 3.00, 4 Sc 3.00

# 8
BiCSeN2 after structural relaxation, computed with GGA-PBEsol.

Output
V: 103.41 Å³ per cell
E: -4.0663 eV/atom
DOS at the Fermi energy: 1.10 states/eV per atom

a b c (Å): 4.2188 4.2188 5.8105
angles (deg): 90.00 90.00 90.00
Last column: nearest neighbours and their distance in Å.
Sites, in units of the cell vectors:
C (0.5000, 0.5000, 0.5000)  4 Se 2.98
Bi (0.0000, 0.0000, 0.0000)  4 N 2.11
Se (0.0000, 0.0000, 0.5000)  2 Bi 2.91, 4 C 2.98
N (0.0000, 0.5000, 0.0000)  2 Bi 2.11
N (0.5000, 0.0000, 0.0000)  2 Bi 2.11